[1]
Below is Cs3PuSn2Cl9 after structural relaxation, with properties calculated at the GGA-PBE level.

Results
- raw formation energy (eV/atom) = -1.58

a b c (Å): 8.0118 8.0118 9.7715
angles (deg): 90.00 90.00 120.00
Closest atoms and distances in Å follow each position.
Space group P-3m1 (No. 164)
Symmetry-distinct sites (fractional):
Cs 0.0000 0.0000 0.0000 [1 per cell]  12 Cl 3.98-4.01
Cs 0.3333 0.6667 0.6746 [2 per cell]  12 Cl 3.93-4.07
Pu 0.0000 0.0000 0.5000 [1 per cell]  6 Cl 2.78
Sn 0.3333 0.6667 0.1646 [2 per cell]  6 Cl 2.82-2.89
Cl 0.0000 0.5000 0.0000 [3 per cell]  2 Sn 2.82
Cl 0.1632 0.3265 0.3352 [6 per cell]  1 Pu 2.78, 1 Sn 2.89



[2]
Below is ZrFeNi2 after structural relaxation, with properties calculated at the GGA-PBE level.

Results
- formation energy from the elements (eV per atom) = 0.22

a b c (Å): 3.7030 3.7030 17.2030
angles (deg): 90.00 90.00 90.00
Closest atoms and distances in Å follow each position.
Space group I-42d (No. 122)
Symmetry-distinct sites (fractional):
Zr 0.0000 0.0000 0.0000 [4 per cell]  4 Ni 2.58, 4 Fe 2.62
Fe 0.0000 0.0000 0.5000 [4 per cell]  4 Ni 2.47, 4 Zr 2.62
Ni 0.2095 0.2500 0.6250 [8 per cell]  2 Ni 2.42, 2 Fe 2.47, 2 Zr 2.58



[3]
Below is K5PaTe5 after structural relaxation, with properties calculated at the GGA-PBE level.

Results
- raw formation energy (eV/atom) = -1.01

a b c (Å): 16.2308 6.5466 9.5978
angles (deg): 90.00 108.56 90.00
Closest atoms and distances in Å follow each position.
Space group C2/m (No. 12)
Symmetry-distinct sites (fractional):
K 0.0000 0.0000 0.0000 [2 per cell]  4 Te 3.33-3.48
K 0.1797 0.5000 0.3552 [4 per cell]  5 Te 3.35-3.62
K 0.1973 0.5000 0.8182 [4 per cell]  4 Te 3.38-3.65
Pa 0.0000 0.0000 0.5000 [2 per cell]  6 Te 2.99-3.27
Te 0.0000 0.5000 0.5000 [2 per cell]  2 Pa 3.27, 4 K 3.61-3.65
Te 0.1334 0.0000 0.3456 [4 per cell]  1 Pa 2.99, 1 K 3.33
Te 0.1421 0.0000 0.7945 [4 per cell]  1 Pa 3.03, 2 K 3.38



[4]
Below is CsPNCl2 after structural relaxation, with properties calculated at the GGA-PBE level.

Results
- polymorph energy (0 for the lowest one) (eV per atom) = 0.000
- raw formation energy (eV/atom) = -0.09

a b c (Å): 6.5372 6.5372 3.3275
angles (deg): 90.00 90.00 90.00
Closest atoms and distances in Å follow each position.
Space group P4/mmm (No. 123)
Symmetry-distinct sites (fractional):
Cs 0.0000 0.0000 0.0000 [1 per cell]  2 Cs 3.33, 8 Cl 3.67
P 0.5000 0.5000 0.0000 [1 per cell]  2 N 1.66
N 0.5000 0.5000 0.5000 [1 per cell]  2 P 1.66
Cl 0.0000 0.5000 0.5000 [2 per cell]  2 N 3.27, 2 Cl 3.33



[5]
Below is MgRhCl after structural relaxation, with properties calculated at the GGA-PBE level.

Results
- polymorph energy (0 for the lowest one) (eV per atom) = 0.437
- raw formation energy (eV/atom) = -0.27

a b c (Å): 7.6286 3.1660 8.6612
angles (deg): 90.00 90.00 90.00
Closest atoms and distances in Å follow each position.
Space group Pnma (No. 62)
Symmetry-distinct sites (fractional):
Mg 0.0616 0.2500 0.1686 [4 per cell]  2 Cl 2.67, 5 Rh 2.69-2.91
Rh 0.2206 0.2500 0.8638 [4 per cell]  3 Cl 2.39-2.66
Cl 0.1711 0.2500 0.5908 [4 per cell]  3 Rh 2.39-2.66, 2 Mg 2.67



[6]
Below is Zr2CrCuN after structural relaxation, with properties calculated at the GGA-PBE level.

Results
- raw formation energy (eV/atom) = -0.61

a b c (Å): 4.5396 4.5396 3.6762
angles (deg): 90.00 90.00 90.00
Closest atoms and distances in Å follow each position.
Space group P4/mmm (No. 123)
Symmetry-distinct sites (fractional):
Zr 0.0000 0.5000 0.0000 [2 per cell]  2 N 2.27
Cr 0.0000 0.0000 0.5000 [1 per cell]  2 N 1.84
Cu 0.5000 0.5000 0.5000 [1 per cell]  8 Zr 2.92, 4 Cr 3.21
N 0.0000 0.0000 0.0000 [1 per cell]  2 Cr 1.84



[7]
Below is BaAsIr2 after structural relaxation, with properties calculated at the GGA-PBE level.

Results
- formation energy from the elements (eV per atom) = 0.22

a b c (Å): 3.0907 3.9481 7.3538
angles (deg): 90.00 101.54 90.00
Closest atoms and distances in Å follow each position.
Space group P2/m (No. 10)
Symmetry-distinct sites (fractional):
Ba 0.0000 0.0000 0.0000 [1 per cell]  2 Ba 3.09
As 0.0000 0.0000 0.5000 [1 per cell]  4 Ir 2.43
Ir 0.3383 0.5000 0.6625 [2 per cell]  2 As 2.43



[8]
Below is NdErTmIn after structural relaxation, with properties calculated at the GGA-PBE level.

Results
- polymorph energy (0 for the lowest one) (eV per atom) = 0.000
- formation energy from the elements (eV per atom) = -0.14

a b c (Å): 7.7356 7.7356 7.7356
angles (deg): 90.00 90.00 90.00
Closest atoms and distances in Å follow each position.
Space group F-43m (No. 216)
Symmetry-distinct sites (fractional):
Nd 0.0000 0.0000 0.0000 [4 per cell]  4 In 3.35, 4 Tm 3.35
Er 0.0000 0.0000 0.5000 [4 per cell]  4 Tm 3.35, 4 In 3.35
Tm 0.2500 0.2500 0.2500 [4 per cell]  4 Er 3.35, 4 Nd 3.35
In 0.2500 0.2500 0.7500 [4 per cell]  4 Er 3.35, 4 Nd 3.35



[9]
Below is Tb2Er3Pd2 after structural relaxation, with properties calculated at the GGA-PBE level.

Results
- polymorph energy (0 for the lowest one) (eV per atom) = 0.000
- formation energy from the elements (eV per atom) = -0.54

a b c (Å): 12.3515 3.6943 9.0389
angles (deg): 90.00 117.09 90.00
Closest atoms and distances in Å follow each position.
Space group C2/m (No. 12)
Symmetry-distinct sites (fractional):
Tb 0.1563 0.0000 0.3128 [4 per cell]  2 Pd 3.03
Er 0.0000 0.5000 0.5000 [2 per cell]  4 Pd 2.88
Er 0.1137 0.5000 0.9404 [4 per cell]  3 Pd 2.90-2.93
Pd 0.1691 0.0000 0.7373 [4 per cell]  5 Er 2.88-2.93, 2 Tb 3.03



[10]
Below is HfCo3P after structural relaxation, with properties calculated at the GGA-PBE level.

Results
- polymorph energy (0 for the lowest one) (eV per atom) = 0.000
- formation energy from the elements (eV per atom) = -0.16

a b c (Å): 4.1230 4.1230 4.1230
angles (deg): 90.00 90.00 90.00
Closest atoms and distances in Å follow each position.
Space group Pm-3m (No. 221)
Symmetry-distinct sites (fractional):
Hf 0.0000 0.0000 0.0000 [1 per cell]  12 Co 2.92
Co 0.0000 0.5000 0.5000 [3 per cell]  2 P 2.06
P 0.5000 0.5000 0.5000 [1 per cell]  6 Co 2.06



[11]
Below is Nd2HfPaAs4 after structural relaxation, with properties calculated at the GGA-PBE level.

Results
- formation energy from the elements (eV per atom) = -1.25

a b c (Å): 7.0599 4.1043 7.1757
angles (deg): 90.00 109.20 90.00
Closest atoms and distances in Å follow each position.
Space group P2/m (No. 10)
Symmetry-distinct sites (fractional):
Nd 0.0000 0.0000 0.0000 [1 per cell]  6 As 2.96
Nd 0.5000 0.5000 0.0000 [1 per cell]  6 As 3.02-3.03
Hf 0.0000 0.5000 0.5000 [1 per cell]  6 As 2.78-2.80
Pa 0.5000 0.0000 0.5000 [1 per cell]  6 As 2.85-2.86
As 0.2349 0.0000 0.7254 [2 per cell]  2 Hf 2.80, 1 Pa 2.85, 3 Nd 2.96-3.03
As 0.2475 0.5000 0.2685 [2 per cell]  1 Hf 2.78, 2 Pa 2.86, 3 Nd 2.96-3.02



[12]
Below is CsZrB after structural relaxation, with properties calculated at the GGA-PBE level.

Results
- polymorph energy (0 for the lowest one) (eV per atom) = 0.517
- formation energy from the elements (eV per atom) = 0.86

a b c (Å): 11.5576 4.1158 8.8573
angles (deg): 90.00 90.00 90.00
Closest atoms and distances in Å follow each position.
Space group Pnma (No. 62)
Symmetry-distinct sites (fractional):
Cs 0.1716 0.2500 0.0218 [4 per cell]  1 B 3.37, 1 Zr 3.71
Zr 0.0182 0.2500 0.3899 [4 per cell]  2 B 2.28
B 0.0505 0.2500 0.6758 [4 per cell]  2 Zr 2.28



[13]
Below is YMg3 after structural relaxation, with properties calculated at the GGA-PBE level.

Results
- formation energy from the elements (eV per atom) = -0.08

a b c (Å): 4.6644 4.6644 4.6735
angles (deg): 90.00 90.00 90.00
Closest atoms and distances in Å follow each position.
Space group P4/mmm (No. 123)
Symmetry-distinct sites (fractional):
Y 0.0000 0.0000 0.0000 [1 per cell]  12 Mg 3.30
Mg 0.0000 0.5000 0.5000 [2 per cell]  8 Mg 3.30, 4 Y 3.30
Mg 0.5000 0.5000 0.0000 [1 per cell]  4 Y 3.30, 8 Mg 3.30



[14]
Below is UCoTcP2 after structural relaxation, with properties calculated at the GGA-PBE level.

Results
- formation energy from the elements (eV per atom) = -0.71

a b c (Å): 3.9003 3.9003 9.7803
angles (deg): 90.00 90.00 90.00
Closest atoms and distances in Å follow each position.
Space group I-4m2 (No. 119)
Symmetry-distinct sites (fractional):
U 0.0000 0.0000 0.0000 [2 per cell]  8 P 3.00, 4 Tc 3.13, 4 Co 3.13
Co 0.0000 0.5000 0.2500 [2 per cell]  4 P 2.32
Tc 0.0000 0.5000 0.7500 [2 per cell]  4 P 2.32
P 0.0000 0.0000 0.3790 [4 per cell]  2 Co 2.32, 2 Tc 2.32, 1 P 2.37



[15]
Below is La3BiIr after structural relaxation, with properties calculated at the GGA-PBE level.

Results
- polymorph energy (0 for the lowest one) (eV per atom) = 0.069
- formation energy from the elements (eV per atom) = -0.76

a b c (Å): 6.8098 5.6208 8.4266
angles (deg): 90.00 90.11 90.00
Closest atoms and distances in Å follow each position.
Space group P2/m (No. 10)
Symmetry-distinct sites (fractional):
La 0.0000 0.0000 0.0000 [1 per cell]  2 Ir 2.98
La 0.2491 0.5000 0.7337 [2 per cell]  2 Ir 2.82
La 0.2495 0.0000 0.3802 [2 per cell]  1 Ir 2.78
La 0.5000 0.0000 0.0000 [1 per cell]  2 Ir 2.98
Bi 0.2505 0.5000 0.1560 [2 per cell]  9 La 3.39-3.56
Ir 0.2487 0.0000 0.7097 [2 per cell]  5 La 2.78-2.98



[16]
Below is InB3Cl after structural relaxation, with properties calculated at the GGA-PBE level.

Results
- polymorph energy (0 for the lowest one) (eV per atom) = 0.000
- raw formation energy (eV/atom) = 2.13

a b c (Å): 4.6292 4.6292 4.6292
angles (deg): 90.00 90.00 90.00
Closest atoms and distances in Å follow each position.
Space group Pm-3m (No. 221)
Symmetry-distinct sites (fractional):
In 0.0000 0.0000 0.0000 [1 per cell]  6 B 2.31
B 0.0000 0.0000 0.5000 [3 per cell]  2 In 2.31
Cl 0.5000 0.5000 0.5000 [1 per cell]  12 B 3.27



[17]
Below is Co2AsAu after structural relaxation, with properties calculated at the GGA-PBE level.

Results
- formation energy from the elements (eV per atom) = 0.24

a b c (Å): 2.7958 2.7958 27.0620
angles (deg): 90.00 90.00 120.00
Closest atoms and distances in Å follow each position.
Space group R3m (No. 160, hexagonal axes)
Symmetry-distinct sites (fractional):
Co 0.0000 0.0000 0.0000 [3 per cell]  3 As 2.41, 3 Co 2.45
Co 0.0000 0.0000 0.2650 [3 per cell]  3 Co 2.45
As 0.0000 0.0000 0.7329 [3 per cell]  3 Co 2.41
Au 0.0000 0.0000 0.5142 [3 per cell]  3 Co 2.79, 6 Au 2.80



[18]
Below is Zr3PaN6 after structural relaxation, with properties calculated at the GGA-PBE level.

Results
- polymorph energy (0 for the lowest one) (eV per atom) = 0.000
- raw formation energy (eV/atom) = -1.34

a b c (Å): 8.9002 3.3755 9.0261
angles (deg): 90.00 106.48 90.00
Closest atoms and distances in Å follow each position.
Space group P2_1/m (No. 11)
Symmetry-distinct sites (fractional):
Zr 0.0347 0.2500 0.1656 [2 per cell]  4 N 2.13-2.27
Zr 0.1734 0.7500 0.5088 [2 per cell]  5 N 2.12-2.37
Zr 0.3310 0.2500 0.9046 [2 per cell]  4 N 2.13-2.23
Pa 0.4384 0.2500 0.3070 [2 per cell]  8 N 2.29-2.55
N 0.0421 0.2500 0.4037 [2 per cell]  4 Zr 2.12-2.27
N 0.1018 0.2500 0.9408 [2 per cell]  4 Zr 2.14-2.27
N 0.2337 0.7500 0.2698 [2 per cell]  3 Zr 2.37-2.43, 2 Pa 2.44, 1 N 2.55
N 0.2998 0.7500 0.7552 [2 per cell]  3 Zr 2.13-2.19
N 0.3981 0.2500 0.5463 [2 per cell]  3 Pa 2.29-2.37
N 0.4210 0.7500 0.1021 [2 per cell]  3 Zr 2.23-2.42, 2 Pa 2.48



[19]
Below is Pm4Nd2YMg after structural relaxation, with properties calculated at the GGA-PBE level.

Results
- formation energy from the elements (eV per atom) = 0.01

a b c (Å): 5.0712 5.0712 10.2332
angles (deg): 90.00 90.00 90.00
Closest atoms and distances in Å follow each position.
Space group P4/mmm (No. 123)
Symmetry-distinct sites (fractional):
Pm 0.0000 0.5000 0.2472 [4 per cell]  2 Mg 3.58, 4 Nd 3.58-3.62, 4 Pm 3.59, 2 Y 3.62
Nd 0.0000 0.0000 0.0000 [1 per cell]  8 Pm 3.58, 4 Mg 3.59
Nd 0.5000 0.5000 0.5000 [1 per cell]  4 Y 3.59, 8 Pm 3.62
Y 0.0000 0.0000 0.5000 [1 per cell]  4 Nd 3.59, 8 Pm 3.62
Mg 0.5000 0.5000 0.0000 [1 per cell]  8 Pm 3.58, 4 Nd 3.59



[20]
Below is Ba2BeGePd6 after structural relaxation, with properties calculated at the GGA-PBE level.

Results
- formation energy from the elements (eV per atom) = -0.55

a b c (Å): 6.5366 6.5383 6.7588
angles (deg): 61.37 61.28 60.48
Closest atoms and distances in Å follow each position.
Space group P-1 (No. 2)
Symmetry-distinct sites (fractional):
Ba 0.2124 0.2125 0.3623 [2 per cell]  12 Pd 3.32-3.51, 1 Be 3.58
Be 0.0000 0.0000 0.0000 [1 per cell]  6 Pd 2.31-2.33
Ge 0.5000 0.5000 0.5000 [1 per cell]  6 Pd 2.54
Pd 0.2407 0.6695 0.8482 [2 per cell]  1 Be 2.33, 1 Ge 2.54
Pd 0.2415 0.2400 0.8468 [2 per cell]  1 Be 2.31, 1 Ge 2.54
Pd 0.3298 0.7586 0.1529 [2 per cell]  1 Be 2.33, 1 Ge 2.54



[21]
Below is Zr2CdHg after structural relaxation, with properties calculated at the GGA-PBE level.

Results
- polymorph energy (0 for the lowest one) (eV per atom) = 0.044
- formation energy from the elements (eV per atom) = -0.10

a b c (Å): 7.0433 7.0433 7.0433
angles (deg): 90.00 90.00 90.00
Closest atoms and distances in Å follow each position.
Space group Fm-3m (No. 225)
Symmetry-distinct sites (fractional):
Zr 0.2500 0.2500 0.2500 [8 per cell]  4 Hg 3.05, 4 Cd 3.05
Cd 0.0000 0.0000 0.0000 [4 per cell]  8 Zr 3.05
Hg 0.0000 0.0000 0.5000 [4 per cell]  8 Zr 3.05



[22]
Below is BeTcP2 after structural relaxation, with properties calculated at the GGA-PBE level.

Results
- formation energy from the elements (eV per atom) = -0.09

a b c (Å): 7.7342 2.9900 4.3403
angles (deg): 90.00 94.18 90.00
Closest atoms and distances in Å follow each position.
Space group C2/m (No. 12)
Symmetry-distinct sites (fractional):
Be 0.0000 0.0000 0.0000 [2 per cell]  2 P 2.14
Tc 0.0000 0.5000 0.5000 [2 per cell]  6 P 2.44-2.48, 4 Be 2.64
P 0.2266 0.0000 0.7453 [4 per cell]  1 Be 2.14



[23]
Below is AcZr2TiN4 after structural relaxation, with properties calculated at the GGA-PBE level.

Results
- raw formation energy (eV/atom) = -1.39

a b c (Å): 3.3565 11.7607 11.4778
angles (deg): 90.00 90.00 90.00
Closest atoms and distances in Å follow each position.
Space group Cmcm (No. 63)
Symmetry-distinct sites (fractional):
Ac 0.0000 0.0972 0.2500 [4 per cell]  6 N 2.62-2.83
Zr 0.0000 0.3709 0.0391 [8 per cell]  3 N 2.17-2.31
Ti 0.0000 0.1672 0.7500 [4 per cell]  4 N 1.92-2.01
N 0.0000 0.0000 0.0000 [4 per cell]  4 Zr 2.31
N 0.0000 0.2624 0.6138 [8 per cell]  1 Ti 1.92
N 0.0000 0.4261 0.2500 [4 per cell]  2 Ti 2.01



[24]
Below is Pr12Dy6Y after structural relaxation, with properties calculated at the GGA-PBE level.

Results
- polymorph energy (0 for the lowest one) (eV per atom) = 0.103
- formation energy from the elements (eV per atom) = 0.23

a b c (Å): 14.9833 14.9833 10.5379
angles (deg): 90.00 90.00 120.00
Closest atoms and distances in Å follow each position.
Space group R-3 (No. 148, hexagonal axes)
Symmetry-distinct sites (fractional):
Pr 0.0516 0.7983 0.0782 [18 per cell]  5 Dy 3.41-3.73, 3 Pr 3.43-3.64, 1 Y 3.57
Pr 0.0649 0.8379 0.4198 [18 per cell]  3 Dy 3.39-3.63, 6 Pr 3.43-3.64
Dy 0.0500 0.8378 0.7593 [18 per cell]  8 Pr 3.39-3.73
Y 0.0000 0.0000 0.0000 [3 per cell]  6 Pr 3.57, 6 Dy 3.84



no.,total magnetization (μB per formula unit)
1,6.02
2,2.06
3,0.00
4,0.11
5,0.00
6,0.00
7,0.00
8,0.55
9,0.00
10,1.99
11,0.00
12,0.00
13,0.00
14,1.79
15,0.00
16,0.00
17,2.97
18,0.00
19,0.00
20,0.00
21,0.00
22,0.00
23,0.00
24,0.00